No. 1
First-principles (PBE-GGA) data for a geometry-optimized Pr2EuAg structure, as listed in Alexandria.

Its energy above the most stable polymorph in this dataset is 0.1467 eV per atom. The size of the total moment is 30.45 μB/cell. The formation energy is 0.077 eV/atom.

It has space group Fm-3m (No. 225), with a = 7.889 Å, b = 7.889 Å, c = 7.889 Å, α = 90.00°, β = 90.00° and γ = 90.00°. Symmetry generates all atoms from Pr at (0.250, 0.250, 0.250), Eu at (0.000, 0.000, 0.000) and Ag at (0.000, 0.000, 0.500).

No. 2
First-principles (PBE-GGA) data for a geometry-optimized Pr2EuAg structure, as listed in Alexandria.

Its energy above the most stable polymorph in this dataset is 0.0933 eV per atom. The size of the total moment is 7.33 μB/cell. The formation energy is 0.024 eV/atom.

It has space group P4/mmm (No. 123), with a = 5.552 Å, b = 5.552 Å, c = 4.019 Å, α = 90.00°, β = 90.00° and γ = 90.00°. Symmetry generates all atoms from Pr at (0.000, 0.500, 0.000), Eu at (0.000, 0.000, 0.500) and Ag at (0.500, 0.500, 0.500).

No. 3
First-principles (PBE-GGA) data for a geometry-optimized PrEuAg4 structure, as listed in Alexandria.

The size of the total moment is 29.14 μB/cell. The formation energy is -0.181 eV/atom.

It has space group F-43m (No. 216), with a = 8.251 Å, b = 8.251 Å, c = 8.251 Å, α = 90.00°, β = 90.00° and γ = 90.00°. Symmetry generates all atoms from Pr at (0.000, 0.000, 0.000), Eu at (0.250, 0.250, 0.750) and Ag at (0.125, 0.125, 0.375).